1.
The following is a DFT calculation (PBEsol) of a geometry-optimized Ca2IrAu structure.

For the total moment, the calculation gives 0.00 μB per formula unit. The energy relative to the elements is -67.1 meV per atom. As for the space-group type: P4mm (99).

abc: 3.514 3.514 7.803
angles: 90.00 90.00 90.00
Fractional coordinates of all 4 atoms:
Ca1 0.000 0.000 0.913
Ir1 0.000 0.000 0.538
Au1 0.500 0.500 0.713
Ca2 0.500 0.500 0.335

---

2.
The following is a DFT calculation (PBEsol) of a geometry-optimized ZrSbTe2C structure.

For the total moment, the calculation gives 1.73 μB per formula unit. The energy relative to the elements, uncorrected is 33.78 kcal/mol of atoms. As for the space-group type: P4/mmm (123).

abc: 5.446 5.446 5.516
angles: 90.00 90.00 90.00
Fractional coordinates of all 5 atoms:
Sb1 0.000 0.000 0.500
C1 0.500 0.500 0.500
Te1 0.500 0.000 0.000
Zr1 0.000 0.000 0.000
Te2 0.000 0.500 0.000

---

3.
The following is a DFT calculation (PBEsol) of a geometry-optimized K2SmAgCl6 structure.

For the total moment, the calculation gives 0.00 μB per formula unit. The energy relative to the elements, uncorrected is -39.91 kcal/mol of atoms. As for the space-group type: Fm-3m (225).

abc: 7.478 7.478 7.478
angles: 60.00 60.00 60.00
Fractional coordinates of all 10 atoms:
Cl1 0.250 0.750 0.250
Cl2 0.250 0.750 0.750
K1 0.250 0.250 0.250
Cl3 0.750 0.250 0.250
Ag1 0.500 0.500 0.500
Cl4 0.750 0.750 0.250
Cl5 0.750 0.250 0.750
Sm1 0.000 0.000 0.000
Cl6 0.250 0.250 0.750
K2 0.750 0.750 0.750

---

4.
The following is a DFT calculation (PBEsol) of a geometry-optimized Er3Rh structure.

For the total moment, the calculation gives 0.00 μB per formula unit. The energy relative to the elements is -527.2 meV per atom. As for the space-group type: Pnma (62).

abc: 6.124 6.994 9.185
angles: 90.00 90.00 90.00
Fractional coordinates of all 16 atoms:
Er1 0.133 0.034 0.250
Rh1 0.445 0.116 0.750
Er2 0.829 0.678 0.062
Er3 0.171 0.322 0.938
Er4 0.829 0.678 0.438
Er5 0.633 0.466 0.750
Er6 0.867 0.966 0.750
Rh2 0.055 0.616 0.750
Er7 0.671 0.178 0.438
Rh3 0.945 0.384 0.250
Er8 0.329 0.822 0.562
Er9 0.329 0.822 0.938
Er10 0.171 0.322 0.562
Er11 0.367 0.534 0.250
Rh4 0.555 0.884 0.250
Er12 0.671 0.178 0.062

---

5.
The following is a DFT calculation (PBEsol) of a geometry-optimized KReAu2 structure.

For the total moment, the calculation gives 3.02 μB per formula unit. The energy relative to the elements is 1180.0 meV per atom. As for the space-group type: I-4m2 (119).

abc: 4.096 4.096 5.415
angles: 112.22 112.22 90.00
Fractional coordinates of all 4 atoms:
Au1 0.000 0.000 0.000
Re1 0.250 0.750 0.500
Au2 0.750 0.250 0.500
K1 0.500 0.500 0.000

---

6.
The following is a DFT calculation (PBEsol) of a geometry-optimized ZrBe3N structure.

For the total moment, the calculation gives 0.39 μB per formula unit. The energy relative to the elements, uncorrected is 67.41 kcal/mol of atoms. As for the space-group type: Pm-3m (221).

abc: 4.771 4.771 4.771
angles: 90.00 90.00 90.00
Fractional coordinates of all 5 atoms:
Be1 0.000 0.000 0.500
N1 0.500 0.500 0.500
Be2 0.000 0.500 0.000
Be3 0.500 0.000 0.000
Zr1 0.000 0.000 0.000

---

7.
The following is a DFT calculation (PBEsol) of a geometry-optimized VC2O6 structure.

For the total moment, the calculation gives 1.00 μB per formula unit. The energy relative to the elements, uncorrected is -36.73 kcal/mol of atoms. As for the space-group type: P2_1/c (14).

abc: 4.595 5.721 7.749
angles: 90.00 90.38 90.00
Fractional coordinates of all 18 atoms:
C1 0.504 0.735 0.666
C2 0.496 0.265 0.334
V1 0.000 0.500 0.500
O1 0.384 0.178 0.197
O2 0.769 0.303 0.348
O3 0.116 0.678 0.303
O4 0.676 0.690 0.538
C3 0.996 0.235 0.834
V2 0.500 0.000 0.000
O5 0.269 0.197 0.848
C4 0.004 0.765 0.166
O6 0.324 0.310 0.462
O7 0.824 0.190 0.962
O8 0.731 0.803 0.152
O9 0.176 0.810 0.038
O10 0.231 0.697 0.652
O11 0.616 0.822 0.803
O12 0.884 0.322 0.697

---

8.
The following is a DFT calculation (PBEsol) of a geometry-optimized La2SbBr2 structure.

For the total moment, the calculation gives 0.31 μB per formula unit. The energy relative to the elements, uncorrected is -30.90 kcal/mol of atoms. As for the space-group type: I4/mmm (139).

abc: 4.459 4.459 8.111
angles: 105.95 105.95 90.00
Fractional coordinates of all 5 atoms:
La1 0.613 0.613 0.227
Sb1 0.000 0.000 0.000
La2 0.387 0.387 0.773
Br1 0.250 0.750 0.500
Br2 0.750 0.250 0.500

---

9.
The following is a DFT calculation (PBEsol) of a geometry-optimized SrTaMn2 structure.

For the total moment, the calculation gives 4.96 μB per formula unit. The energy relative to the elements is 1110.1 meV per atom. As for the space-group type: I-4m2 (119).

abc: 3.944 3.944 5.476
angles: 111.11 111.11 90.00
Fractional coordinates of all 4 atoms:
Ta1 0.250 0.750 0.500
Mn1 0.000 0.000 0.000
Sr1 0.500 0.500 0.000
Mn2 0.750 0.250 0.500

---

10.
The following is a DFT calculation (PBEsol) of a geometry-optimized YZrNi2N structure.

For the total moment, the calculation gives 0.00 μB per formula unit. The energy relative to the elements, uncorrected is -7.01 kcal/mol of atoms. As for the space-group type: P4/mmm (123).

abc: 4.058 4.058 4.308
angles: 90.00 90.00 90.00
Fractional coordinates of all 5 atoms:
N1 0.000 0.000 0.000
Y1 0.500 0.500 0.500
Ni1 0.000 0.500 0.000
Zr1 0.000 0.000 0.500
Ni2 0.500 0.000 0.000

---

11.
The following is a DFT calculation (PBEsol) of a geometry-optimized ZrCdSi2 structure.

For the total moment, the calculation gives 0.00 μB per formula unit. The energy relative to the elements, uncorrected is 6.09 kcal/mol of atoms. As for the space-group type: F-43m (216).

abc: 4.675 4.675 4.675
angles: 60.00 60.00 60.00
Fractional coordinates of all 4 atoms:
Si1 0.250 0.250 0.250
Si2 0.000 0.000 0.000
Zr1 0.750 0.750 0.750
Cd1 0.500 0.500 0.500

---

12.
The following is a DFT calculation (PBEsol) of a geometry-optimized La3HRh structure.

For the total moment, the calculation gives 0.00 μB per formula unit. As for the space-group type: Pm-3m (221). The energy is -5.5918 eV per atom.

abc: 4.807 4.807 4.807
angles: 90.00 90.00 90.00
Fractional coordinates of all 5 atoms:
La1 0.000 0.500 0.000
La2 0.000 0.000 0.500
La3 0.500 0.000 0.000
H1 0.000 0.000 0.000
Rh1 0.500 0.500 0.500

---

13.
The following is a DFT calculation (PBEsol) of a geometry-optimized CaNiW2 structure.

For the total moment, the calculation gives 0.43 μB per formula unit. The energy relative to the elements is 779.6 meV per atom. As for the space-group type: P4/mmm (123).

abc: 3.181 3.181 7.097
angles: 90.00 90.00 90.00
Fractional coordinates of all 4 atoms:
Ni1 0.500 0.500 0.500
Ca1 0.500 0.500 0.000
W1 0.000 0.000 0.668
W2 0.000 0.000 0.332

---

14.
The following is a DFT calculation (PBEsol) of a geometry-optimized CrW structure.

For the total moment, the calculation gives 0.00 μB per formula unit. The energy relative to the elements is 113.7 meV per atom. As for the space-group type: P-1 (2).

abc: 4.988 5.228 8.856
angles: 73.00 87.29 79.95
Fractional coordinates of all 16 atoms:
Cr1 0.379 0.240 0.383
Cr2 0.377 0.504 0.870
Cr3 0.623 0.496 0.130
Cr4 0.871 0.997 0.384
Cr5 0.621 0.760 0.617
W1 0.135 0.508 0.620
Cr6 0.623 0.248 0.618
Cr7 0.377 0.752 0.382
W2 0.866 0.255 0.868
W3 0.865 0.492 0.380
W4 0.124 0.250 0.132
Cr8 0.129 0.003 0.616
W5 0.134 0.745 0.132
W6 0.375 0.001 0.866
W7 0.876 0.750 0.868
W8 0.625 0.999 0.134

---

15.
The following is a DFT calculation (PBEsol) of a geometry-optimized LiFeIr2Se structure.

For the total moment, the calculation gives 2.67 μB per formula unit. The energy relative to the elements, uncorrected is 20.64 kcal/mol of atoms. As for the space-group type: P4/mmm (123).

abc: 4.337 4.557 4.557
angles: 90.00 90.00 90.00
Fractional coordinates of all 5 atoms:
Fe1 0.500 0.000 0.000
Se1 0.000 0.000 0.000
Ir1 0.000 0.500 0.000
Ir2 0.000 0.000 0.500
Li1 0.500 0.500 0.500

---

16.
The following is a DFT calculation (PBEsol) of a geometry-optimized Ba2CaRh structure.

For the total moment, the calculation gives 0.00 μB per formula unit. The energy relative to the elements is 208.6 meV per atom. As for the space-group type: I-4m2 (119).

abc: 5.519 5.525 5.519
angles: 60.04 90.00 119.96
Fractional coordinates of all 4 atoms:
Ca1 0.500 0.000 0.500
Rh1 0.750 0.500 0.750
Ba1 0.000 0.000 0.000
Ba2 0.250 0.500 0.250

---

17.
The following is a DFT calculation (PBEsol) of a geometry-optimized Ag2TeCl structure.

For the total moment, the calculation gives 0.00 μB per formula unit. The energy relative to the elements, uncorrected is -3.49 kcal/mol of atoms. As for the space-group type: Pm (6).

abc: 3.267 4.401 6.396
angles: 90.00 90.07 90.00
Fractional coordinates of all 4 atoms:
Ag1 0.628 0.500 0.199
Te1 0.122 0.500 0.816
Cl1 0.622 0.000 0.421
Ag2 0.128 0.000 0.064

---

18.
The following is a DFT calculation (PBEsol) of a geometry-optimized KNa2MoSe structure.

For the total moment, the calculation gives 4.94 μB per formula unit. The energy relative to the elements, uncorrected is 35.03 kcal/mol of atoms. As for the space-group type: P4/mmm (123).

abc: 5.511 5.511 5.711
angles: 90.00 90.00 90.00
Fractional coordinates of all 5 atoms:
Se1 0.500 0.500 0.500
Na1 0.500 0.000 0.000
Na2 0.000 0.500 0.000
K1 0.000 0.000 0.000
Mo1 0.000 0.000 0.500

---

19.
The following is a DFT calculation (PBEsol) of a geometry-optimized Be3Tl structure.

For the total moment, the calculation gives 0.00 μB per formula unit. The energy relative to the elements is 768.1 meV per atom. As for the space-group type: Imm2 (44).

abc: 3.082 4.356 4.758
angles: 117.24 108.90 90.00
Fractional coordinates of all 4 atoms:
Be1 0.500 0.172 0.000
Be2 0.244 0.249 0.487
Be3 0.756 0.761 0.513
Tl1 0.000 0.652 0.000

---

20.
The following is a DFT calculation (PBEsol) of a geometry-optimized HgSbI2Cl structure.

For the total moment, the calculation gives 0.00 μB per formula unit. The energy relative to the elements, uncorrected is 11.50 kcal/mol of atoms. As for the space-group type: P4/mmm (123).

abc: 5.215 5.718 5.718
angles: 90.00 90.00 90.00
Fractional coordinates of all 5 atoms:
Sb1 0.500 0.000 0.000
Cl1 0.000 0.000 0.000
I1 0.000 0.000 0.500
I2 0.000 0.500 0.000
Hg1 0.500 0.500 0.500